HoZn3P3: relaxed, PBE-GGA.

Cell: 3.988 3.988 19.806 Å, 90.00 90.00 120.00°
Atoms (fractional coordinates):
P 0.333 0.667 0.250
P 0.333 0.667 0.917
Zn 0.667 0.333 0.250
Ho 0.000 0.000 0.500
Zn 0.333 0.667 0.750
P 0.333 0.667 0.583
Zn 0.333 0.667 0.128
Zn 0.667 0.333 0.872
P 0.667 0.333 0.083
Zn 0.667 0.333 0.628
Ho 0.000 0.000 0.000
Zn 0.333 0.667 0.372
P 0.667 0.333 0.750
P 0.667 0.333 0.417

## Properties
crystal system	hexagonal
E	-4.12	eV per atom
V	272.77	Å³/cell
calculated density	5.53	Mg/m³

Y2BiPd2: relaxed, PBE-GGA.

Cell: 7.898 7.898 3.688 Å, 90.00 90.00 90.00°
Atoms (fractional coordinates):
Bi 0.500 0.500 0.000
Bi 0.000 0.000 0.000
Pd 0.376 0.876 0.000
Y 0.170 0.670 0.500
Pd 0.124 0.376 0.000
Y 0.670 0.830 0.500
Y 0.830 0.330 0.500
Y 0.330 0.170 0.500
Pd 0.624 0.124 0.000
Pd 0.876 0.624 0.000

## Properties
crystal system	tetragonal
E	-6.36	eV per atom
V	230.06	Å³/cell
calculated density	8.66	Mg/m³

SnW4C2S: relaxed, PBE-GGA.

Cell: 3.192 3.192 12.780 Å, 90.00 90.00 120.00°
Atoms (fractional coordinates):
Sn 0.667 0.333 0.500
S 0.000 0.000 0.000
W 0.000 0.000 0.681
C 0.333 0.667 0.236
W 0.000 0.000 0.319
W 0.667 0.333 0.852
C 0.333 0.667 0.764
W 0.667 0.333 0.148

## Properties
crystal system	hexagonal
E	-9.57	eV per atom
V	112.78	Å³/cell
calculated density	13.40	Mg/m³

K2Rb2ZnSb2: relaxed, PBE-GGA.

Cell: 10.277 10.277 10.277 Å, 35.04 35.04 35.04°
Atoms (fractional coordinates):
Sb 0.913 0.913 0.913
Sb 0.087 0.087 0.087
Rb 0.621 0.621 0.621
Rb 0.379 0.379 0.379
Zn 0.000 0.000 0.000
K 0.209 0.209 0.209
K 0.791 0.791 0.791

## Properties
crystal system	trigonal
E	-2.38	eV per atom
V	319.47	Å³/cell
calculated density	2.90	Mg/m³

ZrGaCuRe: relaxed, PBE-GGA.

Cell: 4.497 4.497 4.497 Å, 60.00 60.00 60.00°
Atoms (fractional coordinates):
Re 0.250 0.250 0.250
Zr 0.500 0.500 0.500
Ga 0.000 0.000 0.000
Cu 0.750 0.750 0.750

## Properties
energy relative to the lowest polymorph listed for this composition	0.000	eV/atom
crystal system	cubic
V	64.31	Å³/cell
calculated density	10.60	Mg/m³

CsSmTe: relaxed, PBE-GGA.

Cell: 5.687 5.687 5.687 Å, 60.00 60.00 60.00°
Atoms (fractional coordinates):
Te 0.000 0.000 0.000
Sm 0.750 0.750 0.750
Cs 0.250 0.250 0.250

## Properties
energy relative to the lowest polymorph listed for this composition	0.000	eV/atom
crystal system	cubic
V	130.06	Å³/cell
calculated density	5.25	Mg/m³